(1)
DFT (PBE) results for a relaxed Ac4Ni2Ru crystal.

Cell: 7.0211 4.2728 7.6996 Å, 90.00 105.89 90.00°
Space group P2/m (No. 10)
One atom of each set of equivalent atoms:
1 Ac 0.0818 0.0000 0.2647 (multiplicity 2)
2 Ac 0.4042 0.5000 0.7434 (multiplicity 2)
3 Ni 0.3340 0.0000 0.0040 (multiplicity 2)
4 Ru 0.0000 0.5000 0.5000 (multiplicity 1)

Summary:
As for the calculated volume: 222.2 Å³ per cell. As for the total energy: -5.482 eV per atom. As for the total magnetization: 0.00 μB/f.u. As for the formation energy: -1.1 eV/f.u. As for the crystal system: monoclinic.

=====

(2)
DFT (PBE) results for a relaxed Ac5Ni2Ru crystal.

Cell: 5.8343 13.4922 14.5759 Å, 90.00 90.00 90.00°
Space group Cmcm (No. 63)
One atom of each set of equivalent atoms:
1 Ac 0.0000 0.0520 0.1200 (multiplicity 8)
2 Ac 0.0000 0.2606 0.7500 (multiplicity 4)
3 Ac 0.0000 0.3335 0.0682 (multiplicity 8)
4 Ni 0.0000 0.1522 0.5580 (multiplicity 8)
5 Ru 0.0000 0.2042 0.2500 (multiplicity 4)

Summary:
As for the calculated volume: 1147.4 Å³ per cell. As for the total energy: -5.294 eV per atom. As for the total magnetization: 0.00 μB/f.u. As for the formation energy: -1.0 eV/f.u. As for the crystal system: orthorhombic.